Record 1
Material: CePmAlCu
Method: DFT, PBE
State: relaxed

Cell: 5.1500 5.1500 5.1500 Å, 60.00 60.00 60.00°
Closest atoms and distances in Å follow each position.
Sites, in units of the cell vectors:
Al: 0.7500 0.7500 0.7500  4 Ce 3.15, 4 Pm 3.15
Cu: 0.2500 0.2500 0.2500  4 Ce 3.15, 4 Pm 3.15
Ce: 0.0000 0.0000 0.0000  4 Al 3.15, 4 Cu 3.15
Pm: 0.5000 0.5000 0.5000  4 Al 3.15, 4 Cu 3.15

## Properties
Total DFT energy (no corrections)   -4.771 eV/atom
D(E_F)   9.36 states/eV/cell


Record 2
Material: CePrAlCu
Method: DFT, PBE
State: relaxed

Cell: 5.1903 5.1903 5.1903 Å, 60.00 60.00 60.00°
Closest atoms and distances in Å follow each position.
Sites, in units of the cell vectors:
Pr: 0.5000 0.5000 0.5000  4 Al 3.18, 4 Cu 3.18
Cu: 0.2500 0.2500 0.2500  4 Ce 3.18, 4 Pr 3.18
Ce: 0.0000 0.0000 0.0000  4 Cu 3.18, 4 Al 3.18
Al: 0.7500 0.7500 0.7500  4 Pr 3.18, 4 Ce 3.18

## Properties
Total DFT energy (no corrections)   -4.757 eV/atom
D(E_F)   9.87 states/eV/cell


Record 3
Material: Ce2Al3CuPt4
Method: DFT, PBE
State: relaxed

Cell: 4.1363 4.1363 10.9468 Å, 90.00 90.00 90.00°
Closest atoms and distances in Å follow each position.
Sites, in units of the cell vectors:
Ce: 0.5000 0.0000 0.2595  4 Pt 3.11, 6 Al 3.25-3.35, 2 Cu 3.35
Ce: 0.0000 0.5000 0.7405  4 Pt 3.11, 6 Al 3.25-3.35, 2 Cu 3.35
Al: 0.0000 0.0000 0.5000  4 Pt 2.60
Al: 0.5000 0.0000 0.8707  5 Pt 2.48-2.51
Al: 0.0000 0.5000 0.1293  5 Pt 2.48-2.51
Cu: 0.5000 0.5000 0.5000  4 Pt 2.60
Pt: 0.5000 0.5000 0.0000  4 Al 2.51
Pt: 0.0000 0.0000 0.0000  4 Al 2.51
Pt: 0.5000 0.0000 0.6437  3 Al 2.48-2.60, 2 Cu 2.60
Pt: 0.0000 0.5000 0.3563  3 Al 2.48-2.60, 2 Cu 2.60

## Properties
Total DFT energy (no corrections)   -6.091 eV/atom
D(E_F)   12.08 states/eV/cell


Record 4
Material: CeAl4CuPt2
Method: DFT, PBE
State: relaxed

Cell: 4.2651 4.2651 9.1493 Å, 76.52 76.52 60.00°
Closest atoms and distances in Å follow each position.
Sites, in units of the cell vectors:
Ce: 0.0000 0.0000 0.0000  6 Al 3.10
Al: 0.4045 0.4045 0.7864  1 Cu 2.52, 3 Pt 2.56
Al: 0.8671 0.8671 0.3987  3 Cu 2.62, 4 Pt 2.63-2.72
Al: 0.1329 0.1329 0.6013  3 Cu 2.62, 4 Pt 2.63-2.72
Al: 0.5955 0.5955 0.2136  1 Cu 2.52, 3 Pt 2.56
Cu: 0.5000 0.5000 0.5000  8 Al 2.52-2.62
Pt: 0.7642 0.7642 0.7074  7 Al 2.56-2.72
Pt: 0.2358 0.2358 0.2926  7 Al 2.56-2.72

## Properties
Total DFT energy (no corrections)   -5.373 eV/atom
D(E_F)   6.36 states/eV/cell


Record 5
Material: CeAlCuPt3
Method: DFT, PBE
State: relaxed

Cell: 5.8564 5.6305 7.0514 Å, 113.53 90.00 90.00°
Closest atoms and distances in Å follow each position.
Sites, in units of the cell vectors:
Ce: 0.7500 0.3215 0.6430  1 Cu 2.60, 2 Pt 2.82
Ce: 0.2500 0.6785 0.3570  1 Cu 2.60, 2 Pt 2.82
Al: 0.2500 0.3813 0.7627  5 Pt 2.51-2.56
Al: 0.7500 0.6187 0.2373  5 Pt 2.51-2.56
Cu: 0.2500 0.8792 0.7585  4 Pt 2.55, 1 Ce 2.60, 2 Al 2.82
Cu: 0.7500 0.1208 0.2415  4 Pt 2.55, 1 Ce 2.60, 2 Al 2.82
Pt: 0.2500 0.1873 0.3747  1 Al 2.51
Pt: 0.0000 0.2467 0.0000  2 Cu 2.55, 2 Al 2.56, 2 Pt 2.78-2.85
Pt: 0.5000 0.7533 0.0000  2 Cu 2.55, 2 Al 2.56, 2 Pt 2.78-2.85
Pt: 0.5000 0.2467 0.0000  2 Cu 2.55, 2 Al 2.56, 2 Pt 2.78-2.85
Pt: 0.0000 0.7533 0.0000  2 Cu 2.55, 2 Al 2.56, 2 Pt 2.78-2.85
Pt: 0.7500 0.8127 0.6253  1 Al 2.51

## Properties
Total DFT energy (no corrections)   -5.995 eV/atom
D(E_F)   6.88 states/eV/cell


Record 6
Material: CeAl2CuPt4
Method: DFT, PBE
State: relaxed

Cell: 4.2566 4.2566 9.0372 Å, 76.38 76.38 60.00°
Closest atoms and distances in Å follow each position.
Sites, in units of the cell vectors:
Ce: 0.0000 0.0000 0.0000  6 Pt 3.02
Al: 0.7648 0.7648 0.7057  7 Pt 2.59-2.70
Al: 0.2352 0.2352 0.2943  7 Pt 2.59-2.70
Cu: 0.5000 0.5000 0.5000  8 Pt 2.60-2.62
Pt: 0.4004 0.4004 0.7988  3 Al 2.59, 1 Cu 2.60
Pt: 0.8684 0.8684 0.3949  4 Al 2.61-2.70, 3 Cu 2.62
Pt: 0.1316 0.1316 0.6051  4 Al 2.61-2.70, 3 Cu 2.62
Pt: 0.5996 0.5996 0.2012  3 Al 2.59, 1 Cu 2.60

## Properties
Total DFT energy (no corrections)   -6.113 eV/atom
D(E_F)   3.41 states/eV/cell